This record from Alexandria via LeMat-Bulk describes Li2La2Ir after structural relaxation. The functional is GGA-PBE.

## Properties
Energy of formation ... -5 kJ/mol of formula units
D(E_F) ... 9.56 states/eV per cell
Offset from the most stable computed form ... 199 meV/atom

a b c (Å): 6.9211 6.9211 4.5693
angles (deg): 90.00 90.00 90.00
With the nearest neighbours (Å) after each atom.
Space group P4/mbm (No. 127)
Inequivalent atoms, fractional coordinates:
Li (0.1276, 0.3724, 0.0000) (multiplicity 4)  1 Li 2.50, 2 Ir 2.72
La (0.1976, 0.6976, 0.5000) (multiplicity 4)  2 Li 2.85
Ir (0.0000, 0.0000, 0.0000) (multiplicity 2)  4 Li 2.72